{
  "formula": "YThRh",
  "functional": "PBE",
  "state": "optimized geometry",
  "final_energy_ev_per_atom": -7.51,
  "spacegroup": "F-43m (216)",
  "magmom_total_mub_per_cell": 0.0,
  "cell": [[4.907, 0.000, 0.000], [2.454, 4.250, 0.000], [2.454, 1.417, 4.007]],
  "species": ["Rh", "Y", "Th"],
  "fractional_positions": [[0.250, 0.250, 0.250], [0.000, 0.000, 0.000], [0.500, 0.500, 0.500]]
}